An optimized crystal structure of Ag2BO2F. Source: Alexandria, functional PBE-GGA.

calculated total energy: -64.0 eV for the cell shown
formation energy (no corrections): -1.31 eV per atom
SG: Cmc2_1
calculated volume: 200 Å³ per cell

a b c (Å): 6.034 6.034 5.914
angles (deg): 90.00 90.00 68.09
Fractional positions:
Ag (0.193, 0.250, 0.000)
Ag (0.250, 0.193, 0.500)
Ag (0.750, 0.807, 0.000)
Ag (0.807, 0.750, 0.500)
B (0.334, 0.666, 0.999)
B (0.666, 0.334, 0.499)
O (0.126, 0.628, 0.999)
O (0.372, 0.874, 0.999)
O (0.628, 0.126, 0.499)
O (0.874, 0.372, 0.499)
F (0.458, 0.542, 0.497)
F (0.542, 0.458, 0.997)